! K2AlAg, relaxed, DFT PBE; values from VASP
! Space-group type   P4mm, No. 99
! ΔE_f   0.135 eV/atom
&SYSTEM
  ibrav = 0, nat = 4, ntyp = 3
/
ATOMIC_SPECIES
K 39.10 K.upf
Al 26.98 Al.upf
Ag 107.87 Ag.upf
ATOMIC_POSITIONS angstrom
K 0.0000 0.0000 9.3997
K 1.8369 1.8470 3.3276
Al 1.8369 1.8470 6.8418
Ag 0.0000 0.0000 5.9067
CELL_PARAMETERS angstrom
3.6832 0.0108 0.0000
-0.0094 3.6832 0.0000
0.0000 0.0000 10.1904

---

! K2AlAg, relaxed, DFT PBE; values from VASP
! Space-group type   I-4m2, No. 119
! ΔE_f   0.323 eV/atom
&SYSTEM
  ibrav = 0, nat = 4, ntyp = 3
/
ATOMIC_SPECIES
K 39.10 K.upf
Al 26.98 Al.upf
Ag 107.87 Ag.upf
ATOMIC_POSITIONS angstrom
K 2.7215 2.7740 3.9638
K -0.0534 2.7746 1.9819
Al 2.7748 -0.0006 1.9820
Ag 0.0000 0.0000 3.9637
CELL_PARAMETERS angstrom
5.5496 -0.0013 0.0000
-0.1067 5.5492 0.0000
-2.7215 -2.7740 3.9638

---

! KAl2Ag, relaxed, DFT PBE; values from VASP
! Space-group type   C2, No. 5
! Energy above the most stable polymorph in this dataset   71.0 kJ/mol of formula units
! ΔE_f   0.329 eV/atom
&SYSTEM
  ibrav = 0, nat = 4, ntyp = 3
/
ATOMIC_SPECIES
K 39.10 K.upf
Al 26.98 Al.upf
Ag 107.87 Ag.upf
ATOMIC_POSITIONS angstrom
K -3.4148 1.3031 -0.3225
Al -2.0960 4.6255 -0.7868
Al -2.8163 -0.9583 1.8508
Ag -1.2187 3.0665 1.2884
CELL_PARAMETERS angstrom
-2.0755 4.6772 -0.7940
-4.7492 -2.0589 0.1473
2.7668 -0.5680 3.7941

---

! KAl2Ag, relaxed, DFT PBE; values from VASP
! Space-group type   P4/mmm, No. 123
! Energy above the most stable polymorph in this dataset   103.7 kJ/mol of formula units
! ΔE_f   0.414 eV/atom
&SYSTEM
  ibrav = 0, nat = 4, ntyp = 3
/
ATOMIC_SPECIES
K 39.10 K.upf
Al 26.98 Al.upf
Ag 107.87 Ag.upf
ATOMIC_POSITIONS angstrom
K -0.4155 3.0964 -1.1359
Al 0.0000 0.0000 0.0000
Al -2.7256 0.7080 -1.1391
Ag -1.7038 2.4091 1.5279
CELL_PARAMETERS angstrom
-1.4373 1.3953 -3.8029
-4.0139 0.0207 1.5247
0.6063 4.7976 1.5311

---

! KAl2Ag, relaxed, DFT PBE; values from VASP
! Space-group type   Cmmm, No. 65
! Energy above the most stable polymorph in this dataset   100.4 kJ/mol of formula units
! ΔE_f   0.405 eV/atom
&SYSTEM
  ibrav = 0, nat = 4, ntyp = 3
/
ATOMIC_SPECIES
K 39.10 K.upf
Al 26.98 Al.upf
Ag 107.87 Ag.upf
ATOMIC_POSITIONS angstrom
K -2.5369 -0.8625 -2.1117
Al 0.0000 0.0000 0.0000
Al -0.9627 -2.8202 0.1966
Ag -0.9829 -1.0295 3.1005
CELL_PARAMETERS angstrom
-2.5167 -2.6531 -5.0156
0.5913 -2.9872 5.4089
-2.5571 0.9281 0.7921

---

! K2AlAg, relaxed, DFT PBE; values from VASP
! Space-group type   I-42d, No. 122
! ΔE_f   0.211 eV/atom
&SYSTEM
  ibrav = 0, nat = 8, ntyp = 3
/
ATOMIC_SPECIES
K 39.10 K.upf
Al 26.98 Al.upf
Ag 107.87 Ag.upf
ATOMIC_POSITIONS angstrom
K 11.4660 3.1140 0.6218
K 13.4457 9.3419 0.6218
K 9.3419 7.2178 1.8654
K 15.5698 5.2380 1.8654
Al 6.2279 6.2279 0.0000
Al 6.2279 12.4559 1.2436
Ag 0.0000 0.0000 0.0000
Ag 12.4559 6.2279 1.2436
CELL_PARAMETERS angstrom
12.4559 0.0000 0.0000
0.0000 12.4559 0.0000
6.2279 6.2279 2.4872

---

Number 1: volume 138.2 Å³/cell. Number 2: volume 122.1 Å³/cell. Number 3: volume 95.6 Å³/cell. Number 4: volume 93.6 Å³/cell. Number 5: volume 92.1 Å³/cell. Number 6: volume 385.9 Å³/cell.